CdGe2PtO6, relaxed, DFT PBE-GGA; energy relative to the elements, uncorrected = -10.66 eV/f.u.; total moment = 0.03 μB/atom; crystal system = monoclinic
1.0
5.493 -0.182 -0.189
1.546 6.945 0.155
1.546 -0.102 6.946
Cd Ge Pt O
2 4 2 12
Cartesian
2.920 6.222 0.760 Cd
5.666 0.438 6.152 Cd
3.495 5.342 4.337 Ge
2.345 2.616 1.508 Ge
5.091 1.319 2.575 Ge
6.242 4.045 5.404 Ge
2.920 1.842 4.981 Pt
5.666 4.819 1.931 Pt
3.574 6.637 5.550 O
2.266 1.452 0.169 O
5.013 0.024 1.363 O
6.320 5.209 6.744 O
4.061 5.798 2.734 O
1.779 4.235 1.111 O
4.525 0.863 4.179 O
6.808 2.426 5.801 O
7.231 4.667 4.002 O
4.102 2.744 2.006 O
1.356 1.994 2.911 O
4.484 3.917 4.906 O